(1)
Computed, not measured: a geometry-optimized Np3PaSe6 structure at the PBE-GGA level of DFT.

a = 7.1199 Å, b = 8.8178 Å, c = 8.8178 Å
α = 102.35°, β = 90.00°, γ = 90.00°
Site moments in Bohr magnetons follow the coordinates.
Atoms (fractional coordinates):
Np1 0.4889 0.9157 0.7151  4.04
Np2 0.9889 0.7151 0.9157  4.04
Np3 0.3763 0.4061 0.5939  3.92
Np4 0.8763 0.5939 0.4061  3.92
Np5 0.9889 0.0843 0.2849  4.04
Np6 0.4889 0.2849 0.0843  4.04
Pa1 0.9893 0.1643 0.8357  1.36
Pa2 0.4893 0.8357 0.1643  1.36
Se1 0.1785 0.7012 0.6272  -0.10
Se2 0.6785 0.6272 0.7012  -0.10
Se3 0.2049 0.4355 0.9064  -0.08
Se4 0.7049 0.9064 0.4355  -0.08
Se5 0.2467 0.0063 0.9937  -0.07
Se6 0.6285 0.2374 0.7626  -0.09
Se7 0.1285 0.7626 0.2374  -0.09
Se8 0.7467 0.9937 0.0063  -0.07
Se9 0.2049 0.0936 0.5645  -0.08
Se10 0.7049 0.5645 0.0936  -0.08
Se11 0.1785 0.3728 0.2988  -0.10
Se12 0.6785 0.2988 0.3728  -0.10

Results
Symmetry   Cmc2_1
Energy relative to the lowest polymorph listed for this composition   0.0000 eV/atom
Fermi-level density of states   63.98 states/eV per cell
Crystal system   orthorhombic
Calculated density   8.69 g/cm3

(2)
Computed, not measured: a geometry-optimized Np4PaSe6 structure at the PBE-GGA level of DFT.

a = 8.1865 Å, b = 8.1865 Å, c = 8.1865 Å
α = 89.27°, β = 89.27°, γ = 90.73°
Site moments in Bohr magnetons follow the coordinates.
Atoms (fractional coordinates):
Np1 0.3610 0.1390 0.2500  4.31
Np2 0.8610 0.2500 0.3610  4.31
Np3 0.2500 0.6390 0.1390  4.31
Np4 0.2500 0.2500 0.7500  4.24
Np5 0.7500 0.7500 0.2500  4.24
Np6 0.7500 0.3610 0.8610  4.31
Np7 0.1390 0.7500 0.6390  4.31
Np8 0.6390 0.8610 0.7500  4.31
Pa1 0.5000 0.5000 0.5000  1.34
Pa2 0.0000 0.0000 0.0000  1.34
Se1 0.6724 0.0607 0.0848  -0.07
Se2 0.0848 0.3276 0.0607  -0.07
Se3 0.5848 0.4393 0.1724  -0.07
Se4 0.9393 0.0848 0.6724  -0.07
Se5 0.5607 0.1724 0.5848  -0.07
Se6 0.1724 0.4152 0.4393  -0.07
Se7 0.8276 0.5848 0.5607  -0.07
Se8 0.4393 0.8276 0.4152  -0.07
Se9 0.0607 0.9152 0.3276  -0.07
Se10 0.4152 0.5607 0.8276  -0.07
Se11 0.9152 0.6724 0.9393  -0.07
Se12 0.3276 0.9393 0.9152  -0.07

Results
Symmetry   R-3c
Fermi-level density of states   68.85 states/eV per cell
Crystal system   trigonal
Calculated density   10.01 g/cm3

(3)
Computed, not measured: a geometry-optimized NpPa3Se4 structure at the PBE-GGA level of DFT.

a = 5.7654 Å, b = 5.7654 Å, c = 7.0545 Å
α = 114.12°, β = 114.12°, γ = 89.99°
Site moments in Bohr magnetons follow the coordinates.
Atoms (fractional coordinates):
Np1 0.0000 0.0000 0.0000  3.96
Pa1 0.5000 0.5000 0.0000  0.50
Pa2 0.7500 0.2500 0.5000  0.64
Pa3 0.2500 0.7500 0.5000  0.64
Se1 0.0000 0.5000 0.0000  -0.03
Se2 0.5000 0.0000 0.0000  -0.03
Se3 0.2491 0.2491 0.4982  -0.02
Se4 0.7509 0.7509 0.5018  -0.02

Results
Symmetry   I4/mmm
Fermi-level density of states   18.55 states/eV per cell
Crystal system   tetragonal
Calculated density   10.81 g/cm3

(4)
Computed, not measured: a geometry-optimized Np2Pa2Se5 structure at the PBE-GGA level of DFT.

a = 7.7364 Å, b = 7.6811 Å, c = 8.2485 Å
α = 117.75°, β = 90.00°, γ = 90.00°
Site moments in Bohr magnetons follow the coordinates.
Atoms (fractional coordinates):
Np1 0.0000 0.1979 0.3958  4.31
Np2 0.5000 0.6979 0.3958  4.31
Np3 0.0000 0.8021 0.6042  4.31
Np4 0.5000 0.3021 0.6042  4.31
Pa1 0.6494 0.8535 0.0000  1.65
Pa2 0.3506 0.1465 0.0000  1.65
Pa3 0.1494 0.6465 0.0000  1.65
Pa4 0.8506 0.3535 0.0000  1.65
Se1 0.0000 0.0000 0.0000  -0.04
Se2 0.5000 0.5000 0.0000  -0.04
Se3 0.8442 0.7989 0.2780  -0.05
Se4 0.1558 0.4790 0.2780  -0.05
Se5 0.3442 0.9790 0.2780  -0.05
Se6 0.6558 0.2989 0.2780  -0.05
Se7 0.1558 0.2011 0.7220  -0.05
Se8 0.8442 0.5210 0.7220  -0.05
Se9 0.6558 0.0210 0.7220  -0.05
Se10 0.3442 0.7011 0.7220  -0.05

Results
Symmetry   Cmce
Fermi-level density of states   47.73 states/eV per cell
Crystal system   orthorhombic
Calculated density   10.19 g/cm3

(5)
Computed, not measured: a geometry-optimized Np3PaSe6 structure at the PBE-GGA level of DFT.

a = 6.9216 Å, b = 7.7313 Å, c = 10.3312 Å
α = 90.00°, β = 91.76°, γ = 90.00°
Site moments in Bohr magnetons follow the coordinates.
Atoms (fractional coordinates):
Np1 0.5499 0.8808 0.7425  4.13
Np2 0.5000 0.5000 0.0000  -3.81
Np3 0.4501 0.1192 0.2575  4.13
Np4 0.0499 0.6192 0.2425  4.13
Np5 0.0000 0.0000 0.5000  -3.81
Np6 0.9501 0.3808 0.7575  4.13
Pa1 0.5000 0.5000 0.5000  0.82
Pa2 0.0000 0.0000 0.0000  0.82
Se1 0.6635 0.1761 0.9190  -0.03
Se2 0.6595 0.1788 0.5759  -0.03
Se3 0.6688 0.4438 0.2558  -0.03
Se4 0.3312 0.5562 0.7442  -0.03
Se5 0.3405 0.8212 0.4241  -0.03
Se6 0.3365 0.8239 0.0810  -0.03
Se7 0.1635 0.3239 0.4190  -0.03
Se8 0.1595 0.3212 0.0759  -0.03
Se9 0.1688 0.0562 0.7558  -0.03
Se10 0.8312 0.9438 0.2442  -0.03
Se11 0.8405 0.6788 0.9241  -0.03
Se12 0.8365 0.6761 0.5810  -0.03

Results
Symmetry   P2_1/c
Energy relative to the lowest polymorph listed for this composition   0.0208 eV/atom
Fermi-level density of states   55.93 states/eV per cell
Crystal system   monoclinic
Calculated density   8.51 g/cm3

(6)
Computed, not measured: a geometry-optimized Np2Pa3Se8 structure at the PBE-GGA level of DFT.

a = 6.9372 Å, b = 8.2247 Å, c = 8.4075 Å
α = 119.28°, β = 106.43°, γ = 90.00°
Site moments in Bohr magnetons follow the coordinates.
Atoms (fractional coordinates):
Np1 0.3356 0.2520 0.5040  4.17
Np2 0.6644 0.7480 0.4960  4.17
Pa1 0.5000 0.0000 0.0000  1.30
Pa2 0.0000 0.2597 0.0000  1.20
Pa3 0.0000 0.7403 0.0000  1.20
Se1 0.9144 0.6185 0.2371  -0.05
Se2 0.0856 0.3815 0.7629  -0.05
Se3 0.9187 0.1190 0.2381  -0.04
Se4 0.0813 0.8810 0.7619  -0.04
Se5 0.5822 0.6352 0.7571  -0.06
Se6 0.5822 0.1220 0.7571  -0.06
Se7 0.4178 0.8780 0.2429  -0.06
Se8 0.4178 0.3648 0.2429  -0.06

Results
Symmetry   C2/m
Energy relative to the lowest polymorph listed for this composition   0.0497 eV/atom
Fermi-level density of states   30.85 states/eV per cell
Crystal system   monoclinic
Calculated density   7.55 g/cm3

(7)
Computed, not measured: a geometry-optimized NpPaSe4 structure at the PBE-GGA level of DFT.

a = 4.3244 Å, b = 6.6251 Å, c = 6.6250 Å
α = 90.75°, β = 90.00°, γ = 90.00°
Site moments in Bohr magnetons follow the coordinates.
Atoms (fractional coordinates):
Np1 0.5000 0.0000 0.0000  3.75
Pa1 0.0000 0.5000 0.5000  0.42
Se1 0.5000 0.3091 0.6910  -0.04
Se2 0.0000 0.7999 0.7999  -0.08
Se3 0.0000 0.2001 0.2001  -0.08
Se4 0.5000 0.6909 0.3090  -0.04

Results
Symmetry   Cmmm
Energy relative to the lowest polymorph listed for this composition   0.0818 eV/atom
Fermi-level density of states   9.38 states/eV per cell
Crystal system   orthorhombic
Calculated density   6.86 g/cm3

(8)
Computed, not measured: a geometry-optimized Np2Pa2Se7 structure at the PBE-GGA level of DFT.

a = 4.0307 Å, b = 8.8926 Å, c = 8.8926 Å
α = 60.99°, β = 76.90°, γ = 76.90°
Site moments in Bohr magnetons follow the coordinates.
Atoms (fractional coordinates):
Np1 0.0000 0.7769 0.2231  3.79
Np2 0.5000 0.3241 0.6759  -3.89
Pa1 0.7427 0.8512 0.6634  0.61
Pa2 0.2573 0.3366 0.1488  0.61
Se1 0.8178 0.0757 0.2888  -0.03
Se2 0.8579 0.4201 0.8640  0.02
Se3 0.5000 0.0087 0.9913  -0.04
Se4 0.6116 0.4950 0.2818  -0.03
Se5 0.3884 0.7182 0.5050  -0.03
Se6 0.1822 0.7112 0.9243  -0.03
Se7 0.1421 0.1360 0.5799  0.02

Results
Symmetry   Imm2
Energy relative to the lowest polymorph listed for this composition   0.0000 eV/atom
Fermi-level density of states   26.33 states/eV per cell
Crystal system   orthorhombic
Calculated density   9.19 g/cm3

Across the entries above, E_form (uncorrected) takes the values -1.098, -1.000, -1.173, -1.150, -1.078, -1.172, -1.150, -1.253 eV/atom, respectively.